Computed, not measured: a geometry-optimized BeCoNi structure at the GGA-PBE level of DFT.

Summary:
DOS at the Fermi energy = 1.09 states/eV per atom
Space group = F-43m
Energy relative to the lowest polymorph listed for this composition = 175 kJ/mol of formula units
Energy of formation = 406 meV/atom
VASP energy = -5.132 eV per atom
Mass density = 5.9 g/cm3

Cell lengths 3.686, 3.686, 3.686 Å; angles 60.00, 60.00, 60.00 degrees
Last column: magnetic moment on the atom in μB.
Fractional coordinates of all 3 atoms:
Ni (0.000, 0.000, 0.000)  0.73
Be (0.500, 0.500, 0.500)  -0.04
Co (0.750, 0.750, 0.750)  1.19